A plane-wave DFT calculation with PBE was carried out for crystalline Pm2HoCu6 at its relaxed geometry.

```
Pm2HoCu6
1.0
-1.637 -0.664 3.203
2.464 -6.942 -0.181
4.061 5.270 3.168
Pm Ho Cu
2 1 6
Direct
0.000 0.333 0.667
0.000 0.667 0.333
0.000 0.000 0.000
0.500 0.331 0.331
0.500 0.669 0.669
0.500 0.000 0.669
0.500 0.669 0.000
0.500 0.331 0.000
0.500 0.000 0.331
```

Summary:
energy relative to the elements	-0.236	eV/atom
total energy	-4.5313	eV/atom
symmetry	P6/mmm

=====

A plane-wave DFT calculation with PBE was carried out for crystalline TcMoW5 at its relaxed geometry.

```
TcMoW5
1.0
6.816 -0.661 2.261
0.974 6.779 2.261
0.545 0.428 5.424
Tc Mo W
2 2 10
Direct
0.989 0.511 0.250
0.011 0.489 0.750
0.000 0.000 0.000
0.500 0.500 0.500
0.243 0.255 0.010
0.135 0.859 0.569
0.755 0.743 0.510
0.512 0.988 0.250
0.641 0.365 0.931
0.359 0.635 0.069
0.488 0.012 0.750
0.245 0.257 0.490
0.865 0.141 0.431
0.757 0.745 0.990
```

Summary:
energy relative to the elements	0.568	eV/atom
total energy	-11.7126	eV/atom
symmetry	C2/c

=====

A plane-wave DFT calculation with PBE was carried out for crystalline Pm5PrSm2Tm at its relaxed geometry.

```
Pm5PrSm2Tm
1.0
-4.421 -7.713 -0.949
7.301 -3.748 -3.548
0.872 3.535 9.324
Pm Pr Sm Tm
10 2 4 2
Direct
0.929 0.429 0.274
0.655 0.155 0.726
0.071 0.571 0.726
0.155 0.071 0.726
0.571 0.655 0.726
0.845 0.929 0.274
0.429 0.345 0.274
0.345 0.845 0.274
0.500 0.500 0.000
0.000 0.000 0.000
0.250 0.250 0.500
0.750 0.750 0.500
0.115 0.385 0.000
0.615 0.115 0.000
0.385 0.885 0.000
0.885 0.615 0.000
0.250 0.750 0.500
0.750 0.250 0.500
```

Summary:
energy relative to the elements	0.281	eV/atom
total energy	-4.4346	eV/atom
symmetry	I4/mcm

=====

A plane-wave DFT calculation with PBE was carried out for crystalline Y3PdSe2 at its relaxed geometry.

```
Y3PdSe2
1.0
-5.954 3.315 -2.189
-1.489 -3.628 5.987
6.702 9.896 4.743
Y Pd Se
12 4 8
Direct
0.163 0.674 0.830
0.666 0.155 0.830
0.087 0.076 0.670
0.584 0.595 0.670
0.006 0.506 0.500
0.494 0.994 0.500
0.405 0.416 0.330
0.924 0.913 0.330
0.845 0.334 0.170
0.326 0.837 0.170
0.244 0.244 0.000
0.756 0.756 0.000
0.917 0.917 0.834
0.333 0.833 0.666
0.167 0.667 0.334
0.083 0.083 0.166
0.998 0.498 0.997
0.419 0.419 0.838
0.831 0.331 0.662
0.252 0.252 0.503
0.748 0.748 0.497
0.669 0.169 0.338
0.581 0.581 0.162
0.502 0.002 0.003
```

Summary:
formation energy from raw total energies	-1.438	eV per atom
total energy	-6.6974	eV/atom
symmetry	Fddd

=====

A plane-wave DFT calculation with PBE was carried out for crystalline PrPu2Hg6 at its relaxed geometry.

```
PrPu2Hg6
1.0
3.281 0.000 0.000
0.000 7.686 -4.438
0.000 0.000 8.875
Pr Pu Hg
1 2 6
Direct
0.000 0.000 0.000
0.000 0.333 0.667
0.000 0.667 0.333
0.500 0.335 0.335
0.500 0.665 0.665
0.500 0.000 0.665
0.500 0.665 0.000
0.500 0.335 0.000
0.500 0.000 0.335
```

Summary:
energy relative to the elements	-0.263	eV/atom
total energy	-4.1800	eV/atom
symmetry	P6/mmm

=====

A plane-wave DFT calculation with PBE was carried out for crystalline CaV2Hg at its relaxed geometry.

```
CaV2Hg
1.0
-0.943 3.082 -2.791
-0.225 -2.895 -3.121
-10.633 -1.221 -1.012
Ca Hg V
2 2 4
Direct
0.500 0.500 0.000
0.250 0.750 0.500
0.000 0.000 0.000
0.750 0.250 0.500
0.857 0.125 0.250
0.893 0.625 0.250
0.375 0.143 0.750
0.875 0.107 0.750
```

Summary:
energy relative to the elements	0.662	eV/atom
total energy	-4.4732	eV/atom
symmetry	I-42d

=====

A plane-wave DFT calculation with PBE was carried out for crystalline Tm2Pd2Au at its relaxed geometry.

```
Tm2Pd2Au
1.0
-1.095 -3.198 1.469
1.582 -3.497 -6.435
6.977 -1.281 2.412
Tm Pd Au
4 4 2
Direct
0.500 0.173 0.673
0.500 0.673 0.827
0.500 0.827 0.327
0.500 0.327 0.173
0.000 0.370 0.870
0.000 0.870 0.630
0.000 0.630 0.130
0.000 0.130 0.370
0.000 0.000 0.000
0.000 0.500 0.500
```

Summary:
energy relative to the elements	-0.921	eV/atom
total energy	-5.4422	eV/atom
symmetry	P4/mbm

=====

A plane-wave DFT calculation with PBE was carried out for crystalline InCu2Sb2 at its relaxed geometry.

```
InCu2Sb2
1.0
7.225 0.000 0.000
0.000 7.225 0.000
0.000 0.000 3.928
Sb Cu In
4 4 2
Direct
0.169 0.669 0.500
0.669 0.831 0.500
0.831 0.331 0.500
0.331 0.169 0.500
0.378 0.878 0.000
0.878 0.622 0.000
0.622 0.122 0.000
0.122 0.378 0.000
0.000 0.000 0.000
0.500 0.500 0.000
```

Summary:
formation energy from raw total energies	0.168	eV per atom
total energy	-3.6669	eV/atom
symmetry	P4/mbm

=====

A plane-wave DFT calculation with PBE was carried out for crystalline ScFe2Au2 at its relaxed geometry.

```
ScFe2Au2
1.0
7.443 0.000 0.000
0.000 7.443 0.000
0.000 0.000 2.984
Sc Au Fe
2 4 4
Direct
0.000 0.000 0.000
0.500 0.500 0.000
0.183 0.683 0.500
0.683 0.817 0.500
0.817 0.317 0.500
0.317 0.183 0.500
0.388 0.888 0.000
0.888 0.612 0.000
0.612 0.112 0.000
0.112 0.388 0.000
```

Summary:
energy relative to the elements	-0.039	eV/atom
total energy	-6.0009	eV/atom
symmetry	P4/mbm

=====

A plane-wave DFT calculation with PBE was carried out for crystalline MgTaVIr at its relaxed geometry.

```
MgTaVIr
1.0
4.491 0.000 0.000
2.246 3.890 0.000
2.246 1.297 3.667
V Ir Mg Ta
1 1 1 1
Direct
0.250 0.250 0.250
0.750 0.750 0.750
0.500 0.500 0.500
0.000 0.000 0.000
```

Summary:
energy relative to the elements	-0.248	eV/atom
total energy	-8.1043	eV/atom
symmetry	F-43m

=====

A plane-wave DFT calculation with PBE was carried out for crystalline Tb3ThC3 at its relaxed geometry.

```
Tb3ThC3
1.0
5.271 0.183 0.248
-1.026 5.173 0.248
-1.026 -1.295 5.015
Tb Th C
3 1 3
Direct
0.609 0.609 0.155
0.609 0.155 0.609
0.155 0.609 0.609
0.053 0.053 0.053
0.478 0.948 0.948
0.948 0.948 0.478
0.948 0.478 0.948
```

Summary:
energy relative to the elements	0.139	eV/atom
total energy	-6.8582	eV/atom
symmetry	R3m

=====

A plane-wave DFT calculation with PBE was carried out for crystalline La2PRu at its relaxed geometry.

```
La2PRu
1.0
3.696 0.000 0.000
0.000 3.696 -0.032
0.000 0.081 6.810
La P Ru
2 1 1
Direct
0.000 0.002 0.758
0.000 0.998 0.242
0.500 0.500 0.000
0.500 0.500 0.500
```

Summary:
energy relative to the elements	-0.609	eV/atom
total energy	-6.7441	eV/atom
symmetry	P2/m

=====

A plane-wave DFT calculation with PBE was carried out for crystalline PaZn4Ni2 at its relaxed geometry.

```
PaZn4Ni2
1.0
4.032 0.000 0.000
0.000 7.294 0.000
0.000 0.000 7.294
Pa Zn Ni
2 8 4
Direct
0.500 0.000 0.000
0.000 0.500 0.500
0.000 0.091 0.343
0.000 0.909 0.657
0.500 0.157 0.591
0.500 0.843 0.409
0.500 0.409 0.843
0.500 0.591 0.157
0.000 0.343 0.091
0.000 0.657 0.909
0.000 0.219 0.781
0.000 0.781 0.219
0.500 0.719 0.719
0.500 0.281 0.281
```

Summary:
energy relative to the elements	-0.253	eV/atom
total energy	-3.9897	eV/atom
symmetry	P4_2/mnm

=====

A plane-wave DFT calculation with PBE was carried out for crystalline Tm3Pa5P8 at its relaxed geometry.

```
Tm3Pa5P8
1.0
-4.889 -1.352 6.063
-0.110 -7.095 3.483
2.907 -0.862 7.306
Tm Pa P
3 5 8
Direct
0.500 0.000 0.500
0.000 0.000 0.500
0.000 0.500 0.500
0.500 0.000 0.000
0.500 0.500 0.000
0.000 0.000 0.000
0.000 0.500 0.000
0.500 0.500 0.500
0.250 0.250 0.748
0.250 0.752 0.748
0.752 0.250 0.748
0.750 0.750 0.750
0.750 0.750 0.252
0.750 0.248 0.252
0.248 0.750 0.252
0.250 0.250 0.250
```

Summary:
energy relative to the elements	-1.413	eV/atom
total energy	-7.9240	eV/atom
symmetry	R-3m

=====

A plane-wave DFT calculation with PBE was carried out for crystalline CuP3N at its relaxed geometry.

```
CuP3N
1.0
-0.254 -3.789 1.374
1.502 -1.367 -3.491
3.740 0.291 1.495
P Cu N
3 1 1
Direct
0.000 0.500 0.000
0.000 0.000 0.500
0.500 0.000 0.000
0.500 0.500 0.500
0.000 0.000 0.000
```

Summary:
formation energy from raw total energies	0.981	eV per atom
total energy	-4.7488	eV/atom
symmetry	Pm-3m

=====

A plane-wave DFT calculation with PBE was carried out for crystalline La2Ce3Te8 at its relaxed geometry.

```
La2Ce3Te8
1.0
5.438 0.000 0.000
0.000 9.417 -5.410
0.000 -0.838 9.439
La Ce Te
2 3 8
Direct
0.500 0.265 0.531
0.500 0.735 0.469
0.500 0.000 0.000
0.000 0.270 0.000
0.000 0.730 0.000
0.000 0.626 0.252
0.000 0.374 0.748
0.000 0.115 0.231
0.000 0.885 0.769
0.500 0.640 0.756
0.500 0.116 0.756
0.500 0.884 0.244
0.500 0.360 0.244
```

Summary:
formation energy from raw total energies	-1.327	eV per atom
total energy	-5.3874	eV/atom
symmetry	Cmmm

=====

A plane-wave DFT calculation with PBE was carried out for crystalline GeBiO at its relaxed geometry.

```
GeBiO
1.0
4.757 0.000 0.000
0.000 9.609 1.336
0.000 -1.565 5.841
O Bi Ge
4 4 4
Direct
0.299 0.972 0.621
0.701 0.028 0.379
0.201 0.972 0.121
0.799 0.028 0.879
0.372 0.392 0.229
0.628 0.608 0.771
0.872 0.608 0.271
0.128 0.392 0.729
0.075 0.877 0.827
0.425 0.877 0.327
0.925 0.123 0.173
0.575 0.123 0.673
```

Summary:
formation energy from raw total energies	-0.715	eV per atom
total energy	-5.2008	eV/atom
symmetry	P2_1/c

=====

A plane-wave DFT calculation with PBE was carried out for crystalline SrPdPbAu at its relaxed geometry.

```
SrPdPbAu
1.0
4.850 0.000 0.000
-2.425 4.199 0.001
0.000 -2.791 5.085
Sr Pd Pb Au
1 1 1 1
Direct
0.614 0.229 0.485
0.811 0.622 0.075
0.142 0.285 0.069
0.399 0.797 0.838
```

Summary:
energy relative to the elements	-0.480	eV/atom
total energy	-3.9450	eV/atom
symmetry	Cm

=====

A plane-wave DFT calculation with PBE was carried out for crystalline MnOsBr2 at its relaxed geometry.

```
MnOsBr2
1.0
-5.572 -6.362 1.968
-3.440 -6.674 4.361
-5.819 -4.518 4.595
Mn Os Br
1 1 2
Direct
0.500 0.500 0.500
0.000 0.000 0.000
0.904 0.904 0.904
0.096 0.096 0.096
```

Summary:
formation energy from raw total energies	0.758	eV per atom
total energy	-5.1782	eV/atom
symmetry	R-3m

=====

A plane-wave DFT calculation with PBE was carried out for crystalline Mn5Si at its relaxed geometry.

```
Mn5Si
1.0
4.639 -0.005 -0.001
3.785 2.682 -0.001
1.662 0.528 5.289
Mn Si
5 1
Direct
0.029 0.029 0.951
0.694 0.694 0.611
0.359 0.359 0.272
0.365 0.365 0.781
0.024 0.024 0.441
0.694 0.694 0.111
```

Summary:
formation energy from raw total energies	-0.136	eV per atom
total energy	-8.6811	eV/atom
symmetry	C2/m

=====

A plane-wave DFT calculation with PBE was carried out for crystalline CeAlRe at its relaxed geometry.

```
CeAlRe
1.0
-2.529 3.706 0.091
0.001 -3.914 2.196
6.688 3.264 5.142
Ce Re Al
2 2 2
Direct
0.941 0.093 0.034
0.404 0.117 0.521
0.589 0.258 0.848
0.532 0.802 0.334
0.772 0.465 0.237
0.241 0.505 0.746
```

Summary:
energy relative to the elements	0.196	eV/atom
total energy	-7.1792	eV/atom
symmetry	Cm

=====

A plane-wave DFT calculation with PBE was carried out for crystalline UAsS at its relaxed geometry.

```
UAsS
1.0
3.857 0.000 0.000
0.000 3.857 0.000
0.000 0.000 8.142
U As S
2 2 2
Direct
0.000 0.500 0.708
0.500 0.000 0.292
0.500 0.500 0.000
0.000 0.000 0.000
0.000 0.500 0.364
0.500 0.000 0.636
```

Summary:
formation energy from raw total energies	-1.137	eV per atom
total energy	-7.8255	eV/atom
symmetry	P4/nmm